[1]
The following is a DFT calculation (PBE-GGA) of a relaxed structure of BaSnH.

abc: 9.5988 4.6063 7.3218
angles: 90.00 90.00 90.00
Fractional coordinates of all 12 atoms:
Ba1 0.1671 0.2500 0.1086
Ba2 0.3329 0.7500 0.6086
Ba3 0.6671 0.2500 0.3914
Ba4 0.8329 0.7500 0.8914
Sn1 0.0380 0.2500 0.6050
Sn2 0.4620 0.7500 0.1050
Sn3 0.5380 0.2500 0.8950
Sn4 0.9620 0.7500 0.3950
H1 0.1194 0.7500 0.9331
H2 0.3806 0.2500 0.4331
H3 0.6194 0.7500 0.5669
H4 0.8806 0.2500 0.0669

Computed properties:
For the energy above the lowest structure with this stoichiometry, the calculation gives 0 meV per atom.

***

[2]
The following is a DFT calculation (PBE-GGA) of a relaxed structure of BaSnH3.

abc: 4.7634 4.7634 4.7634
angles: 90.00 90.00 90.00
Fractional coordinates of all 5 atoms:
Ba1 0.0000 0.0000 0.0000
Sn1 0.5000 0.5000 0.5000
H1 0.0000 0.0000 0.5000
H2 0.0000 0.5000 0.0000
H3 0.5000 0.0000 0.0000

Computed properties:
For the energy above the lowest structure with this stoichiometry, the calculation gives 601 meV per atom.

***

[3]
The following is a DFT calculation (PBE-GGA) of a relaxed structure of BaSnH.

abc: 5.2632 5.2632 8.8102
angles: 105.92 105.92 51.74
Fractional coordinates of all 6 atoms:
Ba1 0.0625 0.0625 0.2821
Ba2 0.9375 0.9375 0.7179
Sn1 0.3237 0.3237 0.9536
Sn2 0.6763 0.6763 0.0464
H1 0.4543 0.4543 0.4812
H2 0.5457 0.5457 0.5188

Computed properties:
For the energy above the lowest structure with this stoichiometry, the calculation gives 194 meV per atom.

***

[4]
The following is a DFT calculation (PBE-GGA) of a relaxed structure of BaSnH2.

abc: 7.0665 7.0665 7.3491
angles: 120.76 120.76 36.85
Fractional coordinates of all 8 atoms:
Ba1 0.0000 0.0000 0.0000
Ba2 0.5747 0.5747 0.5640
Sn1 0.2779 0.2779 0.0340
Sn2 0.7675 0.7675 0.2887
H1 0.0811 0.0811 0.3980
H2 0.4349 0.4349 0.1323
H3 0.5223 0.5223 0.8511
H4 0.9221 0.9221 0.5282

Computed properties:
For the energy above the lowest structure with this stoichiometry, the calculation gives 0 meV per atom.

***

[5]
The following is a DFT calculation (PBE-GGA) of a relaxed structure of Ba2Sn2H.

abc: 7.2583 7.2583 10.2831
angles: 105.44 105.44 38.02
Fractional coordinates of all 10 atoms:
Ba1 0.0793 0.0793 0.1692
Ba2 0.1854 0.1854 0.6266
Ba3 0.8146 0.8146 0.3734
Ba4 0.9207 0.9207 0.8308
Sn1 0.3204 0.3204 0.0498
Sn2 0.4783 0.4783 0.6223
Sn3 0.5217 0.5217 0.3777
Sn4 0.6796 0.6796 0.9502
H1 0.2249 0.2249 0.3823
H2 0.7751 0.7751 0.6177

Computed properties:
As for the final energy: -3.53 eV per atom.

***

[6]
The following is a DFT calculation (PBE-GGA) of a relaxed structure of Ba4SnH2.

abc: 9.7072 7.8545 10.5978
angles: 61.37 45.25 73.38
Fractional coordinates of all 14 atoms:
Ba1 0.0712 0.9288 0.1636
Ba2 0.0864 0.4136 0.1788
Ba3 0.1366 0.5302 0.7190
Ba4 0.4136 0.0864 0.3212
Ba5 0.5302 0.1366 0.6141
Ba6 0.5310 0.6359 0.1134
Ba7 0.6359 0.5310 0.7198
Ba8 0.9288 0.0712 0.8364
Sn1 0.6799 0.6799 0.3201
Sn2 0.9299 0.9299 0.5701
H1 0.2899 0.2945 0.8886
H2 0.2945 0.2899 0.5269
H3 0.3614 0.7231 0.9601
H4 0.7231 0.3614 0.9555

Computed properties:
As for the final energy: -3.01 eV per atom.

***

[7]
The following is a DFT calculation (PBE-GGA) of a relaxed structure of BaSn3H.

abc: 6.5945 5.6270 7.4245
angles: 90.00 91.54 90.00
Fractional coordinates of all 10 atoms:
Ba1 0.1255 0.2500 0.2659
Ba2 0.8745 0.7500 0.7341
Sn1 0.2589 0.2500 0.7832
Sn2 0.3551 0.7500 0.9920
Sn3 0.3897 0.7500 0.4825
Sn4 0.6103 0.2500 0.5175
Sn5 0.6449 0.2500 0.0080
Sn6 0.7411 0.7500 0.2168
H1 0.4824 0.7500 0.7424
H2 0.5176 0.2500 0.2576

Computed properties:
For the energy above the lowest structure with this stoichiometry, the calculation gives 0 meV per atom.

***

[8]
The following is a DFT calculation (PBE-GGA) of a relaxed structure of BaSnH.

abc: 10.0467 10.0467 10.0467
angles: 156.56 156.56 33.39
Fractional coordinates of all 6 atoms:
Ba1 0.0902 0.0902 0.0000
Ba2 0.9098 0.9098 0.0000
Sn1 0.2824 0.2824 0.0000
Sn2 0.7176 0.7176 0.0000
H1 0.0000 0.5000 0.5000
H2 0.5000 0.0000 0.5000

Computed properties:
For the energy above the lowest structure with this stoichiometry, the calculation gives 63 meV per atom.

***

Q: Which volume values were calculated for the entries above? A: 323.7; 108.1; 182.5; 185.4; 320.2; 502.0; 275.4; 160.4, in Å³/cell.